1.
The following is a PBE calculation of crystalline TlTe3I at its relaxed geometry, from the Alexandria database.

Values from the calculation:
For the spin magnetization, the calculation gives 0.0 μB/f.u. The value obtained for the density of states at the Fermi level is 5.14 states/eV/f.u. For the uncorrected formation energy, the calculation gives 0.47 eV/atom. Its space-group type is Pm-3m. The calculation puts the raw total energy at -11.013 eV/cell.

Unit cell a=5.928 b=5.928 c=5.928 alpha=90.00 beta=90.00 gamma=90.00
Fractional positions:
I: 0.000 0.000 0.000
Tl: 0.500 0.500 0.500
Te: 0.000 0.500 0.000
Te: 0.000 0.000 0.500
Te: 0.500 0.000 0.000

2.
The following is a PBE calculation of crystalline Tl4TeI2 at its relaxed geometry, from the Alexandria database.

Values from the calculation:
For the spin magnetization, the calculation gives 0.0 μB/f.u. For the uncorrected formation energy, the calculation gives -0.44 eV/atom. Its space-group type is Cmcm. The calculation puts the raw total energy at -37.643 eV/cell.

Unit cell a=4.803 b=8.951 c=15.175 alpha=90.00 beta=90.00 gamma=105.56
Fractional positions:
Tl: 0.785 0.570 0.137
Tl: 0.785 0.570 0.363
Tl: 0.215 0.430 0.863
Tl: 0.215 0.430 0.637
Tl: 0.983 0.966 0.750
Tl: 0.017 0.034 0.250
Tl: 0.500 0.000 0.000
Tl: 0.500 0.000 0.500
Te: 0.610 0.220 0.750
Te: 0.390 0.780 0.250
I: 0.136 0.271 0.439
I: 0.864 0.729 0.939
I: 0.136 0.271 0.061
I: 0.864 0.729 0.561

3.
The following is a PBE calculation of crystalline Tl12Te7I at its relaxed geometry, from the Alexandria database.

Values from the calculation:
For the spin magnetization, the calculation gives 0.0 μB/f.u. The value obtained for the density of states at the Fermi level is 11.95 states/eV/f.u. For the uncorrected formation energy, the calculation gives -0.24 eV/atom. Its space-group type is R-3. The calculation puts the raw total energy at -56.684 eV/cell.

Unit cell a=9.065 b=10.179 c=10.179 alpha=68.42 beta=72.73 gamma=107.27
Fractional positions:
Tl: 0.719 0.247 0.276
Tl: 0.005 0.724 0.523
Tl: 0.222 0.099 0.195
Tl: 0.583 0.805 0.294
Tl: 0.528 0.523 0.753
Tl: 0.877 0.294 0.901
Tl: 0.123 0.706 0.099
Tl: 0.472 0.477 0.247
Tl: 0.417 0.195 0.706
Tl: 0.778 0.901 0.805
Tl: 0.995 0.276 0.477
Tl: 0.281 0.753 0.724
Te: 0.195 0.419 0.087
Te: 0.719 0.913 0.506
Te: 0.225 0.506 0.581
Te: 0.500 0.000 0.000
Te: 0.775 0.494 0.419
Te: 0.281 0.087 0.494
Te: 0.805 0.581 0.913
I: 0.000 0.000 0.000

4.
The following is a PBE calculation of crystalline Tl7Te3I at its relaxed geometry, from the Alexandria database.

Values from the calculation:
For the spin magnetization, the calculation gives 0.0 μB/f.u. The value obtained for the density of states at the Fermi level is 0.10 states/eV/f.u. For the uncorrected formation energy, the calculation gives -0.29 eV/atom. Its space-group type is Cmcm. The calculation puts the raw total energy at -61.377 eV/cell.

Unit cell a=9.953 b=9.953 c=9.942 alpha=90.00 beta=90.00 gamma=102.61
Fractional positions:
Tl: 0.136 0.845 0.250
Tl: 0.155 0.864 0.750
Tl: 0.129 0.366 0.456
Tl: 0.129 0.366 0.044
Tl: 0.634 0.871 0.956
Tl: 0.634 0.871 0.544
Tl: 0.325 0.325 0.750
Tl: 0.675 0.675 0.250
Tl: 0.366 0.129 0.044
Tl: 0.366 0.129 0.456
Tl: 0.871 0.634 0.956
Tl: 0.871 0.634 0.544
Tl: 0.845 0.136 0.250
Tl: 0.864 0.155 0.750
Te: 0.047 0.482 0.750
Te: 0.000 0.000 0.000
Te: 0.000 0.000 0.500
Te: 0.518 0.953 0.250
Te: 0.482 0.047 0.750
Te: 0.953 0.518 0.250
I: 0.500 0.500 0.000
I: 0.500 0.500 0.500

5.
The following is a PBE calculation of crystalline Tl12Te5I3 at its relaxed geometry, from the Alexandria database.

Values from the calculation:
For the spin magnetization, the calculation gives 0.0 μB/f.u. The value obtained for the density of states at the Fermi level is 4.28 states/eV/f.u. For the uncorrected formation energy, the calculation gives -0.28 eV/atom. Its space-group type is Ia-3d. The calculation puts the raw total energy at -217.422 eV/cell.

Unit cell a=17.006 b=17.006 c=17.006 alpha=109.47 beta=109.47 gamma=109.47
Fractional positions:
I: 0.750 0.375 0.125
I: 0.875 0.750 0.125
I: 0.375 0.750 0.625
I: 0.250 0.125 0.375
I: 0.875 0.125 0.250
I: 0.375 0.625 0.250
I: 0.625 0.375 0.750
I: 0.125 0.875 0.750
I: 0.750 0.875 0.625
I: 0.625 0.250 0.375
I: 0.125 0.250 0.875
I: 0.250 0.625 0.875
Te: 0.125 0.375 0.250
Te: 0.000 0.500 0.000
Te: 0.000 0.000 0.000
Te: 0.375 0.250 0.125
Te: 0.500 0.000 0.500
Te: 0.500 0.500 0.000
Te: 0.125 0.750 0.375
Te: 0.750 0.125 0.875
Te: 0.750 0.625 0.375
Te: 0.375 0.125 0.750
Te: 0.625 0.875 0.250
Te: 0.500 0.500 0.500
Te: 0.500 0.000 0.000
Te: 0.000 0.000 0.500
Te: 0.250 0.375 0.625
Te: 0.250 0.875 0.125
Te: 0.000 0.500 0.500
Te: 0.875 0.250 0.625
Te: 0.625 0.750 0.875
Te: 0.875 0.625 0.750
Tl: 0.721 0.141 0.052
Tl: 0.331 0.552 0.411
Tl: 0.948 0.359 0.279
Tl: 0.552 0.221 0.141
Tl: 0.580 0.721 0.669
Tl: 0.948 0.589 0.169
Tl: 0.331 0.779 0.420
Tl: 0.089 0.920 0.141
Tl: 0.589 0.948 0.669
Tl: 0.721 0.580 0.169
Tl: 0.779 0.448 0.359
Tl: 0.831 0.911 0.052
Tl: 0.141 0.721 0.552
Tl: 0.359 0.411 0.080
Tl: 0.080 0.911 0.359
Tl: 0.420 0.141 0.589
Tl: 0.080 0.169 0.221
Tl: 0.448 0.669 0.089
Tl: 0.831 0.920 0.279
Tl: 0.141 0.420 0.089
Tl: 0.359 0.948 0.779
Tl: 0.589 0.641 0.420
Tl: 0.911 0.831 0.552
Tl: 0.779 0.331 0.920
Tl: 0.411 0.359 0.580
Tl: 0.089 0.169 0.448
Tl: 0.221 0.669 0.080
Tl: 0.169 0.080 0.721
Tl: 0.641 0.052 0.221
Tl: 0.859 0.580 0.911
Tl: 0.552 0.331 0.911
Tl: 0.580 0.859 0.411
Tl: 0.920 0.831 0.779
Tl: 0.920 0.089 0.641
Tl: 0.859 0.279 0.448
Tl: 0.169 0.089 0.948
Tl: 0.641 0.589 0.920
Tl: 0.411 0.052 0.331
Tl: 0.279 0.420 0.831
Tl: 0.221 0.552 0.641
Tl: 0.911 0.080 0.859
Tl: 0.669 0.221 0.580
Tl: 0.448 0.779 0.859
Tl: 0.052 0.411 0.831
Tl: 0.420 0.279 0.331
Tl: 0.052 0.641 0.721
Tl: 0.669 0.448 0.589
Tl: 0.279 0.859 0.948

6.
The following is a PBE calculation of crystalline Tl3TeI7 at its relaxed geometry, from the Alexandria database.

Values from the calculation:
For the spin magnetization, the calculation gives 0.0 μB/f.u. For the uncorrected formation energy, the calculation gives -0.38 eV/atom. Its space-group type is Cm. The calculation puts the raw total energy at -25.275 eV/cell.

Unit cell a=8.335 b=8.335 c=9.075 alpha=66.68 beta=66.68 gamma=79.18
Fractional positions:
Tl: 0.791 0.200 0.492
Tl: 0.510 0.510 0.916
Tl: 0.200 0.791 0.492
Te: 0.016 0.016 0.974
I: 0.185 0.185 0.106
I: 0.668 0.077 0.219
I: 0.963 0.360 0.711
I: 0.077 0.668 0.219
I: 0.520 0.520 0.551
I: 0.360 0.963 0.711
I: 0.834 0.834 0.860

7.
The following is a PBE calculation of crystalline TlTeI3 at its relaxed geometry, from the Alexandria database.

Values from the calculation:
For the spin magnetization, the calculation gives 0.0 μB/f.u. For the uncorrected formation energy, the calculation gives -0.26 eV/atom. Its space-group type is P-1. The calculation puts the raw total energy at -22.951 eV/cell.

Unit cell a=5.117 b=10.424 c=9.792 alpha=76.35 beta=76.05 gamma=101.02
Fractional positions:
Tl: 0.222 0.140 0.631
Tl: 0.263 0.765 0.151
Te: 0.663 0.620 0.718
Te: 0.822 0.284 0.064
I: 0.752 0.332 0.746
I: 0.733 0.573 0.036
I: 0.878 0.263 0.352
I: 0.566 0.883 0.735
I: 0.919 0.021 0.047
I: 0.607 0.642 0.431

8.
The following is a PBE calculation of crystalline Tl5Te2I2 at its relaxed geometry, from the Alexandria database.

Values from the calculation:
For the spin magnetization, the calculation gives 0.0 μB/f.u. The value obtained for the density of states at the Fermi level is 3.48 states/eV/f.u. For the uncorrected formation energy, the calculation gives -0.41 eV/atom. Its space-group type is Cmce. The calculation puts the raw total energy at -49.737 eV/cell.

Unit cell a=8.829 b=8.831 c=10.044 alpha=90.00 beta=63.93 gamma=90.00
Fractional positions:
Tl: 0.000 0.000 0.000
Tl: 0.500 0.500 0.000
Tl: 0.483 0.141 0.751
Tl: 0.766 0.859 0.751
Tl: 0.266 0.641 0.751
Tl: 0.983 0.359 0.751
Tl: 0.517 0.859 0.249
Tl: 0.234 0.141 0.249
Tl: 0.734 0.359 0.249
Tl: 0.017 0.641 0.249
Te: 0.167 0.333 0.000
Te: 0.833 0.667 0.000
Te: 0.333 0.833 0.000
Te: 0.667 0.167 0.000
I: 0.189 0.000 0.622
I: 0.689 0.500 0.622
I: 0.811 0.000 0.378
I: 0.311 0.500 0.378

9.
The following is a PBE calculation of crystalline TlTe2I2 at its relaxed geometry, from the Alexandria database.

Values from the calculation:
For the spin magnetization, the calculation gives 0.0 μB/f.u. The value obtained for the density of states at the Fermi level is 2.84 states/eV/f.u. For the uncorrected formation energy, the calculation gives 0.03 eV/atom. Its space-group type is I4/mmm. The calculation puts the raw total energy at -11.608 eV/cell.

Unit cell a=6.695 b=6.695 c=6.797 alpha=60.50 beta=60.50 gamma=90.00
Fractional positions:
I: 0.750 0.250 0.500
I: 0.250 0.750 0.500
Tl: 0.000 0.000 0.000
Te: 0.369 0.369 0.262
Te: 0.631 0.631 0.738

10.
The following is a PBE calculation of crystalline TlTe2I6 at its relaxed geometry, from the Alexandria database.

Values from the calculation:
For the spin magnetization, the calculation gives 0.0 μB/f.u. The value obtained for the density of states at the Fermi level is 5.36 states/eV/f.u. For the uncorrected formation energy, the calculation gives -0.17 eV/atom. Its space-group type is C2/c. The calculation puts the raw total energy at -38.888 eV/cell.

Unit cell a=9.254 b=11.444 c=11.444 alpha=48.86 beta=68.22 gamma=68.22
Fractional positions:
Tl: 0.250 0.030 0.970
Tl: 0.750 0.970 0.030
Te: 0.253 0.541 0.953
Te: 0.247 0.047 0.459
Te: 0.747 0.459 0.047
Te: 0.753 0.953 0.541
I: 0.513 0.749 0.746
I: 0.987 0.254 0.251
I: 0.487 0.251 0.254
I: 0.013 0.746 0.749
I: 0.898 0.818 0.373
I: 0.602 0.627 0.182
I: 0.102 0.182 0.627
I: 0.398 0.373 0.818
I: 0.111 0.695 0.117
I: 0.389 0.883 0.305
I: 0.889 0.305 0.883
I: 0.611 0.117 0.695

11.
The following is a PBE calculation of crystalline Tl8Te4I at its relaxed geometry, from the Alexandria database.

Values from the calculation:
For the spin magnetization, the calculation gives 0.0 μB/f.u. The value obtained for the density of states at the Fermi level is 5.82 states/eV/f.u. For the uncorrected formation energy, the calculation gives -0.28 eV/atom. Its space-group type is R-3m. The calculation puts the raw total energy at -36.688 eV/cell.

Unit cell a=9.792 b=9.792 c=9.792 alpha=57.87 beta=57.87 gamma=57.87
Fractional positions:
Tl: 0.241 0.736 0.241
Tl: 0.759 0.759 0.264
Tl: 0.759 0.264 0.759
Tl: 0.264 0.759 0.759
Tl: 0.739 0.739 0.739
Tl: 0.261 0.261 0.261
Tl: 0.736 0.241 0.241
Tl: 0.241 0.241 0.736
Te: 0.500 0.000 0.500
Te: 0.000 0.500 0.500
Te: 0.500 0.500 0.000
Te: 0.000 0.000 0.000
I: 0.500 0.500 0.500

12.
The following is a PBE calculation of crystalline Tl2Te2I at its relaxed geometry, from the Alexandria database.

Values from the calculation:
For the spin magnetization, the calculation gives 0.0 μB/f.u. The value obtained for the density of states at the Fermi level is 1.20 states/eV/f.u. For the uncorrected formation energy, the calculation gives -0.36 eV/atom. Its space-group type is I4/mmm. The calculation puts the raw total energy at -14.342 eV/cell.

Unit cell a=4.462 b=4.462 c=9.936 alpha=77.02 beta=77.02 gamma=90.00
Fractional positions:
I: 0.000 0.000 0.000
Tl: 0.399 0.399 0.202
Tl: 0.601 0.601 0.798
Te: 0.750 0.250 0.500
Te: 0.250 0.750 0.500

Q: What is the spin magnetization in the third record?
A: 0.0 μB/f.u.